1.
DFT (PBE) results for crystalline ZrP2SF at its relaxed geometry.

Output
Relative energy among the computed polymorphs (meV per atom): 189.3

Unit cell a=5.063 b=5.063 c=4.863 alpha=90.00 beta=90.00 gamma=90.00
Positions (direct):
Zr 0.000 0.000 0.000
P 0.000 0.500 0.000
P 0.500 0.000 0.000
S 0.000 0.000 0.500
F 0.500 0.500 0.500

---

2.
DFT (PBE) results for crystalline SiNiRh at its relaxed geometry.

Output
Energy (eV/atom): -6.714

Unit cell a=4.984 b=4.984 c=4.984 alpha=146.86 beta=146.86 gamma=47.56
Positions (direct):
Si 0.000 0.000 0.000
Ni 0.638 0.638 0.000
Rh 0.343 0.343 0.000

---

3.
DFT (PBE) results for crystalline CdHgRhPb2 at its relaxed geometry.

Output
Relative energy among the computed polymorphs (meV per atom): 0.0
Energy relative to the elements (eV per atom): 0.0302

Unit cell a=5.244 b=5.244 c=5.297 alpha=90.00 beta=90.00 gamma=90.00
Positions (direct):
Cd 0.000 0.000 0.000
Hg 0.500 0.500 0.000
Rh 0.000 0.000 0.500
Pb 0.000 0.500 0.500
Pb 0.500 0.000 0.500

---

4.
DFT (PBE) results for crystalline CeTaCrN3 at its relaxed geometry.

Output
Energy (eV/atom): -9.785

Unit cell a=6.976 b=3.105 c=7.303 alpha=90.00 beta=103.70 gamma=90.00
Positions (direct):
Ce 0.187 0.250 0.207
Ce 0.813 0.750 0.793
Ta 0.343 0.750 0.851
Ta 0.657 0.250 0.149
Cr 0.103 0.250 0.598
Cr 0.897 0.750 0.402
N 0.126 0.250 0.869
N 0.194 0.750 0.478
N 0.436 0.750 0.147
N 0.564 0.250 0.853
N 0.806 0.250 0.522
N 0.874 0.750 0.131

---

5.
DFT (PBE) results for crystalline Y2CdBP at its relaxed geometry.

Output
Energy relative to the elements (eV per atom): -0.0969

Unit cell a=5.387 b=5.387 c=3.813 alpha=90.00 beta=90.00 gamma=90.00
Positions (direct):
Y 0.000 0.500 0.000
Y 0.500 0.000 0.000
Cd 0.000 0.000 0.500
B 0.500 0.500 0.500
P 0.500 0.500 0.000

---

6.
DFT (PBE) results for crystalline Zr2TaMo at its relaxed geometry.

Output
Relative energy among the computed polymorphs (meV per atom): 131.0
Energy relative to the elements (eV per atom): 0.1153

Unit cell a=3.370 b=4.785 c=4.806 alpha=90.00 beta=90.00 gamma=90.00
Positions (direct):
Zr 0.000 0.000 0.000
Zr 0.500 0.500 0.000
Ta 0.000 0.500 0.500
Mo 0.500 0.000 0.500

---

7.
DFT (PBE) results for crystalline AgRuSN2 at its relaxed geometry.

Output
Relative energy among the computed polymorphs (meV per atom): 0.0

Unit cell a=3.763 b=3.763 c=5.331 alpha=90.00 beta=90.00 gamma=90.00
Positions (direct):
Ag 0.000 0.000 0.000
Ru 0.500 0.500 0.500
S 0.500 0.500 0.000
N 0.000 0.500 0.500
N 0.500 0.000 0.500

---

8.
DFT (PBE) results for crystalline NaSrZnAs at its relaxed geometry.

Output
Energy relative to the elements (eV per atom): -0.4764

Unit cell a=5.259 b=5.259 c=5.259 alpha=60.00 beta=60.00 gamma=60.00
Positions (direct):
Na 0.000 0.000 0.000
Sr 0.500 0.500 0.500
Zn 0.250 0.250 0.250
As 0.750 0.750 0.750

---

9.
DFT (PBE) results for crystalline CaHo3Hg6 at its relaxed geometry.

Output
Energy relative to the elements (eV per atom): -0.4322

Unit cell a=9.158 b=5.162 c=11.122 alpha=90.00 beta=106.52 gamma=90.00
Positions (direct):
Ca 0.058 0.250 0.393
Ca 0.942 0.750 0.607
Ho 0.230 0.250 0.008
Ho 0.355 0.750 0.801
Ho 0.477 0.250 0.613
Ho 0.523 0.750 0.387
Ho 0.645 0.250 0.199
Ho 0.770 0.750 0.992
Hg 0.065 0.750 0.900
Hg 0.142 0.750 0.203
Hg 0.169 0.250 0.698
Hg 0.257 0.750 0.513
Hg 0.352 0.250 0.300
Hg 0.460 0.750 0.090
Hg 0.540 0.250 0.910
Hg 0.648 0.750 0.700
Hg 0.743 0.250 0.487
Hg 0.831 0.750 0.302
Hg 0.858 0.250 0.797
Hg 0.935 0.250 0.100

---

10.
DFT (PBE) results for crystalline Ac2CdCu12Ni3 at its relaxed geometry.

Output
Energy relative to the elements (eV per atom): 0.2367

Unit cell a=9.834 b=9.834 c=9.834 alpha=36.60 beta=36.60 gamma=36.60
Positions (direct):
Ac 0.146 0.146 0.146
Ac 0.854 0.854 0.854
Cd 0.500 0.500 0.500
Cu 0.086 0.086 0.697
Cu 0.086 0.697 0.086
Cu 0.143 0.561 0.561
Cu 0.303 0.914 0.914
Cu 0.439 0.439 0.857
Cu 0.439 0.857 0.439
Cu 0.561 0.143 0.561
Cu 0.561 0.561 0.143
Cu 0.697 0.086 0.086
Cu 0.857 0.439 0.439
Cu 0.914 0.303 0.914
Cu 0.914 0.914 0.303
Ni 0.000 0.500 0.500
Ni 0.500 0.000 0.500
Ni 0.500 0.500 0.000

---

11.
DFT (PBE) results for crystalline Ba2Sr2Zn at its relaxed geometry.

Output
Relative energy among the computed polymorphs (meV per atom): 165.9
Energy relative to the elements (eV per atom): 0.0947

Unit cell a=8.617 b=8.617 c=6.924 alpha=90.00 beta=90.00 gamma=90.00
Positions (direct):
Ba 0.172 0.328 0.000
Ba 0.328 0.828 0.000
Ba 0.672 0.172 0.000
Ba 0.828 0.672 0.000
Sr 0.161 0.661 0.500
Sr 0.339 0.161 0.500
Sr 0.661 0.839 0.500
Sr 0.839 0.339 0.500
Zn 0.000 0.000 0.500
Zn 0.500 0.500 0.500

---

12.
DFT (PBE) results for crystalline Cd2AgMo at its relaxed geometry.

Output
Relative energy among the computed polymorphs (meV per atom): 186.0
Energy relative to the elements (eV per atom): 0.4161

Unit cell a=4.280 b=4.280 c=4.051 alpha=90.00 beta=90.00 gamma=90.00
Positions (direct):
Cd 0.000 0.500 0.000
Cd 0.500 0.000 0.000
Ag 0.000 0.000 0.500
Mo 0.500 0.500 0.500